5
Lattice="5.002 0.000 0.000 0.000 5.002 0.000 0.000 0.000 5.137" Properties=species:S:1:pos:R:3 comment="GGA-PBE VInHg2Rh, relaxed" dft_energy_ry_per_atom=-0.2022 e_form_mev_per_atom=1211 magnetic_moment_mub_per_fu=0.00 density_g_cm3=8.7 vol_a3_per_atom=25.71 pbc="T T T"
V 0.000 0.000 0.000
In 0.000 0.000 2.569
Hg 0.000 2.501 0.000
Hg 2.501 0.000 0.000
Rh 2.501 2.501 2.569